VASP calculation (PBE-GGA) on Y3HfIr after structural relaxation.

Cell lengths 5.355, 5.355, 5.355 Å; angles 90.00, 90.00, 90.00 degrees
Each line ends with the local moment (μB).
Element x y z (fractional)
Y 0.000 0.500 0.000  0.10
Hf 0.500 0.500 0.500  0.90
Y 0.500 0.000 0.000  0.17
Ir 0.000 0.000 0.000  0.05
Y 0.000 0.000 0.500  0.08

Energy relative to the elements (meV per atom): 101
Magnetization (μB per atom): 0.481
Fermi-level density of states (states/eV/atom): 1.3517
Energy above the lowest structure with this stoichiometry (eV/atom): 0.0000